## CaPuSc2Se4 (PBE)

Data for a relaxed CaPuSc2Se4 crystal.

Summary:
energy relative to the elements, uncorrected	-1.6689	eV per atom
M_tot	5.99	μB per formula unit
D(E_F)	10.86	states/eV per cell

a b c (Å): 6.9572 3.9983 6.9861
angles (deg): 90.00 109.26 90.00
With the nearest neighbours (Å) after each atom.
Element x y z (fractional)
Ca: 0.0000 0.0000 0.0000  6 Se 2.91
Pu: 0.5000 0.5000 0.0000  6 Se 2.92-2.93
Sc: 0.0000 0.5000 0.5000  6 Se 2.76-2.77
Sc: 0.5000 0.0000 0.5000  6 Se 2.77-2.78
Se: 0.2427 0.0000 0.7311  3 Sc 2.77-2.78, 1 Ca 2.91, 2 Pu 2.92
Se: 0.2548 0.5000 0.2693  3 Sc 2.76-2.77, 2 Ca 2.91, 1 Pu 2.93
Se: 0.7452 0.5000 0.7307  3 Sc 2.76-2.77, 2 Ca 2.91, 1 Pu 2.93
Se: 0.7573 0.0000 0.2689  3 Sc 2.77-2.78, 1 Ca 2.91, 2 Pu 2.92